[1]
YTmTlCo | PBE | optimized geometry

Cell: 7.180 7.180 7.180 Å, 90.00 90.00 90.00°
Space group F-43m (No. 216)
Asymmetric unit:
Y (0.000, 0.000, 0.000) [4 per cell]
Tm (0.000, 0.000, 0.500) [4 per cell]
Tl (0.250, 0.250, 0.250) [4 per cell]
Co (0.250, 0.250, 0.750) [4 per cell]

Output
E_form = -0.138 eV/atom
ΔE to the lowest computed polymorph = 0.126 eV/atom
DOS(E_F) = 2.39 states/eV/f.u.
size of the total moment = 0.3128 μB per atom
calculated volume = 370 Å³ per cell

[2]
La2Mn2Bi | PBE | optimized geometry

Cell: 8.867 8.867 3.357 Å, 90.00 90.00 90.00°
Space group P4/mbm (No. 127)
Asymmetric unit:
La (0.184, 0.316, 0.000) [4 per cell]
Mn (0.077, 0.577, 0.500) [4 per cell]
Bi (0.000, 0.000, 0.000) [2 per cell]

Output
E_form = 0.436 eV/atom
ΔE to the lowest computed polymorph = 0.424 eV/atom
DOS(E_F) = 6.68 states/eV/f.u.
size of the total moment = 0.0000 μB per atom
calculated volume = 264 Å³ per cell

[3]
Np2GeP | PBE | optimized geometry

Cell: 3.313 3.313 7.430 Å, 90.00 90.00 90.00°
Space group P4/mmm (No. 123)
Asymmetric unit:
Np (0.000, 0.000, 0.225) [2 per cell]
Ge (0.500, 0.500, 0.500) [1 per cell]
P (0.500, 0.500, 0.000) [1 per cell]

Output
E_form = -0.404 eV/atom
ΔE to the lowest computed polymorph = 0.000 eV/atom
DOS(E_F) = 8.95 states/eV/f.u.
size of the total moment = 1.9986 μB per atom
calculated volume = 82 Å³ per cell

[4]
CeAg3Br6 | PBE | optimized geometry

Cell: 8.021 8.026 8.243 Å, 61.33 61.31 62.51°
Space group P-1 (No. 2)
Asymmetric unit:
Ce (0.000, 0.000, 0.000) [1 per cell]
Ag (0.000, 0.500, 0.000) [1 per cell]
Ag (0.500, 0.000, 0.000) [1 per cell]
Ag (0.500, 0.500, 0.500) [1 per cell]
Br (0.225, 0.727, 0.770) [2 per cell]
Br (0.252, 0.252, 0.707) [2 per cell]
Br (0.277, 0.772, 0.226) [2 per cell]

Output
DOS(E_F) = 8.94 states/eV/f.u.
formation energy (no corrections) = -0.8631 eV/atom
size of the total moment = 0.1000 μB per atom
calculated volume = 389 Å³ per cell

[5]
KIrW2 | PBE | optimized geometry

Cell: 2.751 3.998 8.279 Å, 90.00 90.00 90.00°
Space group Pmmm (No. 47)
Asymmetric unit:
K (0.000, 0.000, 0.000) [1 per cell]
Ir (0.000, 0.000, 0.500) [1 per cell]
W (0.500, 0.500, 0.349) [2 per cell]

Output
E_form = 0.817 eV/atom
ΔE to the lowest computed polymorph = 0.163 eV/atom
DOS(E_F) = 3.25 states/eV/f.u.
size of the total moment = 0.0000 μB per atom
calculated volume = 91 Å³ per cell

[6]
Pm4Er5Th | PBE | optimized geometry

Cell: 10.493 10.493 6.127 Å, 90.00 90.00 90.00°
Space group I4mm (No. 107)
Asymmetric unit:
Pm (0.000, 0.320, 0.000) [8 per cell]
Er (0.000, 0.000, 0.237) [2 per cell]
Er (0.188, 0.188, 0.488) [8 per cell]
Th (0.000, 0.000, 0.763) [2 per cell]

Output
E_form = 0.282 eV/atom
ΔE to the lowest computed polymorph = 0.092 eV/atom
DOS(E_F) = 15.02 states/eV/f.u.
size of the total moment = 0.0000 μB per atom
calculated volume = 675 Å³ per cell

[7]
NdTlN | PBE | optimized geometry

Cell: 3.472 3.472 12.013 Å, 90.00 90.00 90.00°
Space group I4mm (No. 107)
Asymmetric unit:
Nd (0.000, 0.000, 0.000) [2 per cell]
Tl (0.000, 0.000, 0.272) [2 per cell]
N (0.000, 0.000, 0.468) [2 per cell]

Output
ΔE to the lowest computed polymorph = 0.067 eV/atom
DOS(E_F) = 1.32 states/eV/f.u.
formation energy (no corrections) = -0.5482 eV/atom
size of the total moment = 0.0000 μB per atom
calculated volume = 145 Å³ per cell

[8]
Li2TaTl | PBE | optimized geometry

Cell: 11.171 2.783 5.608 Å, 90.00 116.76 90.00°
Space group Cm (No. 8)
Asymmetric unit:
Li (0.000, 0.000, 0.000) [2 per cell]
Li (0.242, 0.000, 0.948) [2 per cell]
Ta (0.488, 0.000, 0.489) [2 per cell]
Tl (0.243, 0.500, 0.458) [2 per cell]

Output
E_form = 0.404 eV/atom
DOS(E_F) = 3.06 states/eV/f.u.
size of the total moment = 0.0000 μB per atom
calculated volume = 156 Å³ per cell

[9]
Sr2IrAuC | PBE | optimized geometry

Cell: 5.519 5.519 3.872 Å, 90.00 90.00 90.00°
Space group P4/mmm (No. 123)
Asymmetric unit:
Sr (0.000, 0.500, 0.000) [2 per cell]
Ir (0.000, 0.000, 0.500) [1 per cell]
Au (0.500, 0.500, 0.500) [1 per cell]
C (0.000, 0.000, 0.000) [1 per cell]

Output
E_form = -0.387 eV/atom
DOS(E_F) = 1.11 states/eV/f.u.
size of the total moment = 0.0000 μB per atom
calculated volume = 118 Å³ per cell

[10]
CsZn3Sb3 | PBE | optimized geometry

Cell: 7.610 7.610 7.610 Å, 90.00 90.00 90.00°
Space group Pm-3n (No. 223)
Asymmetric unit:
Cs (0.000, 0.000, 0.000) [2 per cell]
Zn (0.000, 0.250, 0.500) [6 per cell]
Sb (0.000, 0.500, 0.250) [6 per cell]

Output
ΔE to the lowest computed polymorph = 0.000 eV/atom
DOS(E_F) = 4.29 states/eV/f.u.
formation energy (no corrections) = -0.1757 eV/atom
size of the total moment = 0.0000 μB per atom
calculated volume = 441 Å³ per cell

[11]
HfTi2Nb | PBE | optimized geometry

Cell: 3.0290 3.0290 28.8033 Å, 90.00 90.00 120.00°
Space group R3m (No. 160, hexagonal axes)
Asymmetric unit:
Hf (0.0000, 0.0000, 0.0000) [3 per cell]
Ti (0.0000, 0.0000, 0.5799) [3 per cell]
Ti (0.0000, 0.0000, 0.7525) [3 per cell]
Nb (0.0000, 0.0000, 0.1661) [3 per cell]

Output
E_form = 0.142 eV/atom
ΔE to the lowest computed polymorph = 0.097 eV/atom
DOS(E_F) = 6.12 states/eV/f.u.
size of the total moment = 0.0000 μB per atom
calculated volume = 229 Å³ per cell

[12]
In8GaSn2 | PBE | optimized geometry

Cell: 5.273 8.974 12.689 Å, 90.00 90.00 90.00°
Space group Immm (No. 71)
Asymmetric unit:
In (0.000, 0.000, 0.139) [4 per cell]
In (0.000, 0.210, 0.356) [8 per cell]
In (0.000, 0.302, 0.000) [4 per cell]
Ga (0.000, 0.500, 0.500) [2 per cell]
Sn (0.000, 0.500, 0.207) [4 per cell]

Output
E_form = 0.042 eV/atom
DOS(E_F) = 4.63 states/eV/f.u.
size of the total moment = 0.0000 μB per atom
calculated volume = 600 Å³ per cell

[13]
ScMnBeB2 | PBE | optimized geometry

Cell: 3.918 3.918 4.429 Å, 90.00 90.00 90.00°
Space group P4/mmm (No. 123)
Asymmetric unit:
Sc (0.000, 0.000, 0.000) [1 per cell]
Mn (0.000, 0.000, 0.500) [1 per cell]
Be (0.500, 0.500, 0.000) [1 per cell]
B (0.000, 0.500, 0.500) [2 per cell]

Output
E_form = 0.955 eV/atom
DOS(E_F) = 3.86 states/eV/f.u.
size of the total moment = 0.0000 μB per atom
calculated volume = 68 Å³ per cell